No. 1
Density functional theory data (PBE) for crystalline Pr2CdB2Rh5 at its relaxed geometry.

Properties
Energy of formation from the pure elements: -574 meV per atom
SG: P4/mbm
Magnetization: 0.00 μB per formula unit

a b c (Å): 9.890 9.890 3.261
angles (deg): 90.00 90.00 90.00
Fractional positions:
Pr  0.177  0.323  0.000
Pr  0.323  0.823  0.000
Pr  0.677  0.177  0.000
Pr  0.823  0.677  0.000
Cd  0.000  0.000  0.000
Cd  0.500  0.500  0.000
B  0.120  0.620  0.000
B  0.380  0.120  0.000
B  0.620  0.880  0.000
B  0.880  0.380  0.000
Rh  0.000  0.500  0.500
Rh  0.070  0.768  0.500
Rh  0.232  0.070  0.500
Rh  0.268  0.570  0.500
Rh  0.430  0.268  0.500
Rh  0.500  0.000  0.500
Rh  0.570  0.732  0.500
Rh  0.732  0.430  0.500
Rh  0.768  0.930  0.500
Rh  0.930  0.232  0.500

No. 2
Density functional theory data (PBE) for crystalline AsOsPb2 at its relaxed geometry.

Properties
Energy of formation from the pure elements: 876 meV per atom
SG: I4/mmm
Magnetization: 0.00 μB per formula unit

a b c (Å): 5.230 5.230 5.230
angles (deg): 127.69 127.69 77.12
Fractional positions:
As  0.000  0.000  0.000
Os  0.500  0.500  0.000
Pb  0.250  0.750  0.500
Pb  0.750  0.250  0.500

No. 3
Density functional theory data (PBE) for crystalline CdSbTe2Mo at its relaxed geometry.

Properties
Formation energy without anion corrections: 0.416 eV/atom
SG: P4/mmm
Relative energy among the computed polymorphs: 0 meV per atom
Magnetization: 0.00 μB per formula unit

a b c (Å): 5.316 5.316 5.356
angles (deg): 90.00 90.00 90.00
Fractional positions:
Cd  0.000  0.000  0.000
Sb  0.500  0.500  0.000
Te  0.000  0.500  0.500
Te  0.500  0.000  0.500
Mo  0.500  0.500  0.500

No. 4
Density functional theory data (PBE) for crystalline Cu3SeS at its relaxed geometry.

Properties
Formation energy without anion corrections: 0.467 eV/atom
SG: Pm-3m
Relative energy among the computed polymorphs: 581 meV per atom
Magnetization: 0.00 μB per formula unit

a b c (Å): 4.557 4.557 4.557
angles (deg): 90.00 90.00 90.00
Fractional positions:
Cu  0.000  0.000  0.500
Cu  0.000  0.500  0.000
Cu  0.500  0.000  0.000
Se  0.000  0.000  0.000
S  0.500  0.500  0.500

No. 5
Density functional theory data (PBE) for crystalline NbHgPb2 at its relaxed geometry.

Properties
Energy of formation from the pure elements: 535 meV per atom
SG: R-3m
Magnetization: 0.00 μB per formula unit

a b c (Å): 12.449 12.449 12.449
angles (deg): 14.67 14.67 14.67
Fractional positions:
Nb  0.000  0.000  0.000
Hg  0.500  0.500  0.500
Pb  0.081  0.081  0.081
Pb  0.919  0.919  0.919

No. 6
Density functional theory data (PBE) for crystalline Pu2GaSi4Pt3 at its relaxed geometry.

Properties
Formation energy without anion corrections: -0.778 eV/atom
SG: P-4m2
Magnetization: 10.40 μB per formula unit

a b c (Å): 4.213 4.213 10.007
angles (deg): 90.00 90.00 90.00
Fractional positions:
Pu  0.000  0.500  0.249
Pu  0.500  0.000  0.751
Ga  0.000  0.000  0.500
Si  0.000  0.000  0.000
Si  0.000  0.500  0.642
Si  0.500  0.000  0.358
Si  0.500  0.500  0.000
Pt  0.000  0.500  0.880
Pt  0.500  0.000  0.120
Pt  0.500  0.500  0.500

No. 7
Density functional theory data (PBE) for crystalline Tb4Si2H at its relaxed geometry.

Properties
SG: P2_1/m
Relative energy among the computed polymorphs: 0 meV per atom
Magnetization: 0.00 μB per formula unit

a b c (Å): 6.191 6.406 8.459
angles (deg): 90.00 109.63 90.00
Fractional positions:
Tb  0.014  0.000  0.266
Tb  0.014  0.500  0.266
Tb  0.405  0.250  0.089
Tb  0.431  0.250  0.621
Tb  0.569  0.750  0.379
Tb  0.595  0.750  0.911
Tb  0.986  0.000  0.734
Tb  0.986  0.500  0.734
Si  0.208  0.750  0.045
Si  0.260  0.750  0.572
Si  0.740  0.250  0.428
Si  0.792  0.250  0.955
H  0.249  0.250  0.810
H  0.751  0.750  0.190

No. 8
Density functional theory data (PBE) for crystalline SrZrCd2 at its relaxed geometry.

Properties
Energy of formation from the pure elements: 175 meV per atom
SG: P2/m
Magnetization: 0.72 μB per formula unit

a b c (Å): 5.600 3.364 6.463
angles (deg): 90.00 114.03 90.00
Fractional positions:
Sr  0.000  0.000  0.000
Zr  0.500  0.500  0.500
Cd  0.000  0.000  0.500
Cd  0.500  0.500  0.000

No. 9
Density functional theory data (PBE) for crystalline Hf6FePd3 at its relaxed geometry.

Properties
Energy of formation from the pure elements: -272 meV per atom
SG: P2_1/c
Magnetization: 0.00 μB per formula unit

a b c (Å): 5.389 8.012 10.467
angles (deg): 90.00 120.14 90.00
Fractional positions:
Hf  0.058  0.167  0.457
Hf  0.058  0.333  0.957
Hf  0.357  0.690  0.443
Hf  0.357  0.810  0.943
Hf  0.410  0.059  0.264
Hf  0.410  0.441  0.764
Hf  0.590  0.559  0.236
Hf  0.590  0.941  0.736
Hf  0.643  0.190  0.057
Hf  0.643  0.310  0.557
Hf  0.942  0.667  0.043
Hf  0.942  0.833  0.543
Fe  0.500  0.000  0.500
Fe  0.500  0.500  0.000
Pd  0.000  0.000  0.000
Pd  0.000  0.500  0.500
Pd  0.111  0.099  0.759
Pd  0.111  0.401  0.259
Pd  0.889  0.599  0.741
Pd  0.889  0.901  0.241

No. 10
Density functional theory data (PBE) for crystalline Ca2ZrTi at its relaxed geometry.

Properties
Energy of formation from the pure elements: 882 meV per atom
SG: I-42d
Relative energy among the computed polymorphs: 167 meV per atom
Magnetization: 3.41 μB per formula unit

a b c (Å): 6.792 6.792 6.792
angles (deg): 101.79 101.79 126.25
Fractional positions:
Ca  0.111  0.625  0.986
Ca  0.375  0.361  0.486
Ca  0.639  0.125  0.014
Ca  0.875  0.889  0.514
Zr  0.250  0.750  0.500
Zr  0.500  0.500  0.000
Ti  0.000  0.000  0.000
Ti  0.750  0.250  0.500

No. 11
Density functional theory data (PBE) for crystalline K3Th2NiSe6 at its relaxed geometry.

Properties
Formation energy without anion corrections: -1.285 eV/atom
SG: C2/m
Magnetization: 1.00 μB per formula unit

a b c (Å): 7.311 7.311 8.082
angles (deg): 98.67 98.67 119.98
Fractional positions:
K  0.000  0.000  0.000
K  0.334  0.666  0.000
K  0.666  0.334  0.000
Th  0.167  0.833  0.500
Th  0.833  0.167  0.500
Ni  0.500  0.500  0.500
Se  0.107  0.432  0.296
Se  0.243  0.243  0.704
Se  0.432  0.107  0.296
Se  0.568  0.893  0.704
Se  0.757  0.757  0.296
Se  0.893  0.568  0.704

No. 12
Density functional theory data (PBE) for crystalline Cs2PmAs2S6 at its relaxed geometry.

Properties
Formation energy without anion corrections: -0.842 eV/atom
SG: C2/m
Magnetization: 0.00 μB per formula unit

a b c (Å): 7.272 7.272 8.722
angles (deg): 114.86 114.86 60.07
Fractional positions:
Cs  0.210  0.210  0.192
Cs  0.790  0.790  0.808
Pm  0.000  0.000  0.500
As  0.448  0.448  0.809
As  0.552  0.552  0.191
S  0.214  0.713  0.228
S  0.248  0.248  0.622
S  0.287  0.786  0.772
S  0.713  0.214  0.228
S  0.752  0.752  0.378
S  0.786  0.287  0.772